CaHo2ScTe4 (PBE, optimized geometry); density = 6.7 g cm⁻³; crystal system = tetragonal; formation energy without anion corrections = -1.287 eV per atom; space group = No. 119
1.0
-0.609 -4.730 -3.833
6.036 -0.971 0.240
-3.509 -0.914 6.568
Ca Ho Sc Te
1 2 1 4
direct
0.500 0.500 0.000
0.250 0.750 0.500
0.000 0.000 0.000
0.750 0.250 0.500
0.996 0.496 0.991
0.504 0.004 0.009
0.750 0.750 0.501
0.250 0.250 0.499